[1]
Compound: TcMo4Os
Source: the Alexandria database
Functional: PBE
Structure: optimized geometry

Calculated values
* formation enthalpy at 0 K: 362 meV/atom
* total moment: 0.0 μB per formula unit
* Fermi-level density of states: 5.84 states/eV/f.u.
* total energy: -10.46 eV per atom

Structure (CIF):
```
data_TcMo4Os
_cell_length_a 7.2456
_cell_length_b 7.2456
_cell_length_c 7.2456
_cell_angle_alpha 90.00
_cell_angle_beta 90.00
_cell_angle_gamma 90.00
_symmetry_space_group_name_H-M 'F -4 3 m'
_symmetry_Int_Tables_number 216
_symmetry_space_group_name_Hall 'F -4 2 3'
loop_
_atom_site_label
_atom_site_type_symbol
_atom_site_fract_x
_atom_site_fract_y
_atom_site_fract_z
Tc1 Tc 0.0000 0.0000 0.0000
Mo1 Mo 0.1253 0.1253 0.6253
Os1 Os 0.2500 0.2500 0.2500
```

***

[2]
Compound: TcMoOs2
Source: the Alexandria database
Functional: PBE
Structure: optimized geometry

Calculated values
* formation enthalpy at 0 K: 82 meV/atom
* relative energy among the computed polymorphs: 41.5 meV per atom
* total moment: 0.0 μB per formula unit
* Fermi-level density of states: 4.23 states/eV/f.u.
* total energy: -10.83 eV per atom

Structure (CIF):
```
data_TcMoOs2
_cell_length_a 9.1400
_cell_length_b 2.7509
_cell_length_c 4.7779
_cell_angle_alpha 90.00
_cell_angle_beta 99.93
_cell_angle_gamma 90.00
_symmetry_space_group_name_H-M 'C 1 2/m 1'
_symmetry_Int_Tables_number 12
loop_
_symmetry_equiv_pos_as_xyz
'x,y,z'
'-x,-y,-z'
'-x,y,-z'
'x,-y,z'
'x+1/2,y+1/2,z'
'-x+1/2,-y+1/2,-z'
'-x+1/2,y+1/2,-z'
'x+1/2,-y+1/2,z'
loop_
_atom_site_label
_atom_site_type_symbol
_atom_site_fract_x
_atom_site_fract_y
_atom_site_fract_z
Tc1 Tc 0.0000 0.0000 0.0000
Mo1 Mo 0.0000 0.5000 0.5000
Os1 Os 0.2476 0.5000 0.2398
```

***

[3]
Compound: TcMoOs2
Source: the Alexandria database
Functional: PBE
Structure: optimized geometry

Calculated values
* formation enthalpy at 0 K: 176 meV/atom
* relative energy among the computed polymorphs: 135.8 meV per atom
* total moment: 0.0 μB per formula unit
* Fermi-level density of states: 3.32 states/eV/f.u.
* total energy: -10.74 eV per atom

Structure (CIF):
```
data_TcMoOs2
_cell_length_a 2.7452
_cell_length_b 4.2633
_cell_length_c 5.2745
_cell_angle_alpha 90.00
_cell_angle_beta 105.07
_cell_angle_gamma 90.00
_symmetry_space_group_name_H-M 'P 1 m 1'
_symmetry_Int_Tables_number 6
loop_
_symmetry_equiv_pos_as_xyz
'x,y,z'
'x,-y,z'
loop_
_atom_site_label
_atom_site_type_symbol
_atom_site_fract_x
_atom_site_fract_y
_atom_site_fract_z
Tc1 Tc 0.0000 0.0000 0.0000
Mo1 Mo 0.1256 0.5000 0.2559
Os1 Os 0.3863 0.5000 0.7724
Os2 Os 0.7408 0.0000 0.4857
```